Entry 1:
This record from Alexandria via LeMat-Bulk describes a geometry-optimized PmTmZnRu structure. The functional is PBE.

Computed properties:
Total moment: 0.000 μB per atom
Electronic total energy: -5.24 eV/atom
E above lowest polymorph: 16 meV per atom

a = 4.311 Å, b = 5.667 Å, c = 5.667 Å
α = 40.73°, β = 90.00°, γ = 90.00°
Positions (direct):
Pm: 0.000 0.000 0.000
Tm: 0.500 0.284 0.284
Zn: 0.500 0.580 0.580
Ru: 0.000 0.724 0.724

Entry 2:
This record from Alexandria via LeMat-Bulk describes a geometry-optimized Pm3URu8 structure. The functional is PBE.

Computed properties:
Total moment: 0.074 μB per atom
Electronic total energy: -8.46 eV/atom

a = 9.283 Å, b = 9.283 Å, c = 9.283 Å
α = 33.70°, β = 33.70°, γ = 33.70°
Positions (direct):
Pm: 0.000 0.000 0.000
Pm: 0.125 0.125 0.125
Pm: 0.499 0.499 0.499
U: 0.627 0.627 0.627
Ru: 0.059 0.560 0.560
Ru: 0.060 0.060 0.569
Ru: 0.060 0.569 0.060
Ru: 0.310 0.310 0.310
Ru: 0.560 0.059 0.560
Ru: 0.560 0.560 0.059
Ru: 0.569 0.060 0.060
Ru: 0.810 0.810 0.810

no.,energy of formation from the pure elements (meV/atom)
1,-300
2,-145